1.
Here is SrGaNiPd after structural relaxation from Alexandria. Energies are from PBE. Values from VASP.

The total magnetization comes out at 0.0000 μB per atom. The calculation puts the uncorrected energy at -4.428 eV per atom. Its calculated density is 6.3 Mg/m³. For the formation energy, the calculation gives -2.03 eV/f.u. As for the volume: 21.40 Å³/atom.

Structure (Quantum ESPRESSO input):
```
&SYSTEM
  ibrav = 0, nat = 4, ntyp = 4
/
ATOMIC_SPECIES
Ga 69.72 Ga.upf
Pd 106.42 Pd.upf
Sr 87.62 Sr.upf
Ni 58.69 Ni.upf
ATOMIC_POSITIONS angstrom
Ga 0.000 0.893 0.045
Pd 0.000 0.892 4.807
Sr 2.157 -0.355 2.606
Ni 2.157 2.139 0.327
CELL_PARAMETERS angstrom
4.314 0.000 0.000
-2.157 3.739 -0.004
0.000 -2.492 5.310
```

***

2.
Here is SrGa4NiPd2 after structural relaxation from Alexandria. Energies are from PBE. Values from VASP.

The total magnetization comes out at 0.0000 μB per atom. The calculation puts the uncorrected energy at -4.284 eV per atom. Its calculated density is 7.2 Mg/m³. For the formation energy, the calculation gives -4.31 eV/f.u. As for the volume: 18.41 Å³/atom.

Structure (Quantum ESPRESSO input):
```
&SYSTEM
  ibrav = 0, nat = 8, ntyp = 4
/
ATOMIC_SPECIES
Ga 69.72 Ga.upf
Ni 58.69 Ni.upf
Sr 87.62 Sr.upf
Pd 106.42 Pd.upf
ATOMIC_POSITIONS angstrom
Ga 6.409 3.700 3.820
Ga 4.272 2.467 7.224
Ga 2.136 1.233 5.497
Ga 4.272 2.467 2.092
Ni 4.272 2.467 4.658
Sr 0.000 0.000 0.000
Pd 2.136 1.233 2.850
Pd 6.409 3.700 6.467
CELL_PARAMETERS angstrom
4.272 0.000 0.000
2.136 3.700 0.000
2.136 1.233 9.317
```

***

3.
Here is SrGa4Ni2Pd after structural relaxation from Alexandria. Energies are from PBE. Values from VASP.

The total magnetization comes out at 0.0000 μB per atom. The calculation puts the uncorrected energy at -4.255 eV per atom. Its calculated density is 6.9 Mg/m³. For the formation energy, the calculation gives -3.50 eV/f.u. As for the volume: 17.85 Å³/atom.

Structure (Quantum ESPRESSO input):
```
&SYSTEM
  ibrav = 0, nat = 8, ntyp = 4
/
ATOMIC_SPECIES
Ga 69.72 Ga.upf
Sr 87.62 Sr.upf
Pd 106.42 Pd.upf
Ni 58.69 Ni.upf
ATOMIC_POSITIONS angstrom
Ga -7.226 3.551 1.015
Ga -4.557 2.570 0.574
Ga -8.511 -0.497 2.136
Ga -5.842 -1.479 1.694
Sr 0.000 0.000 0.000
Pd -6.534 1.036 1.355
Ni -3.787 0.115 0.883
Ni -9.281 1.957 1.827
CELL_PARAMETERS angstrom
-1.750 3.251 1.954
-2.703 2.450 -2.034
-8.615 -3.629 2.790
```

***

4.
Here is Sr2Ga3NiPd4 after structural relaxation from Alexandria. Energies are from PBE. Values from VASP.

The total magnetization comes out at 0.0000 μB per atom. The calculation puts the uncorrected energy at -4.500 eV per atom. Its calculated density is 7.3 Mg/m³. For the formation energy, the calculation gives -6.01 eV/f.u. As for the volume: 19.86 Å³/atom.

Structure (Quantum ESPRESSO input):
```
&SYSTEM
  ibrav = 0, nat = 10, ntyp = 4
/
ATOMIC_SPECIES
Ga 69.72 Ga.upf
Pd 106.42 Pd.upf
Sr 87.62 Sr.upf
Ni 58.69 Ni.upf
ATOMIC_POSITIONS angstrom
Ga 0.000 0.000 5.311
Ga 0.000 2.162 1.359
Ga 2.162 0.000 9.262
Pd 2.162 0.000 6.722
Pd 0.000 0.000 0.000
Pd 0.000 2.162 3.899
Pd 2.162 2.162 0.000
Sr 2.162 0.000 2.742
Sr 0.000 2.162 7.879
Ni 2.162 2.162 5.311
CELL_PARAMETERS angstrom
4.324 0.000 0.000
0.000 4.324 0.000
0.000 0.000 10.621
```